Record 1
Here is a geometry-optimized InAgGe structure from the Alexandria database. Energies are from PBE.

Structure (POSCAR):
```
InAgGe
1.0
4.435 0.000 0.000
0.000 4.435 0.000
0.000 0.000 6.804
In Ag Ge
2 2 2
Cartesian
1.109 3.326 0.000
3.326 1.109 0.000
1.109 1.109 2.052
3.326 3.326 4.752
1.109 1.109 4.673
3.326 3.326 2.131
```

Values from the calculation:
- raw total energy (eV/atom) = -3.164
- space group = P4/nmm

=====

Record 2
Here is a geometry-optimized BaSmEuMg structure from the Alexandria database. Energies are from PBE.

Structure (POSCAR):
```
BaSmEuMg
1.0
8.472 0.000 0.000
0.000 8.472 0.000
0.000 0.000 8.472
Ba Sm Eu Mg
4 4 4 4
Cartesian
0.000 0.000 0.000
0.000 4.236 4.236
4.236 0.000 4.236
4.236 4.236 0.000
0.000 0.000 4.236
0.000 4.236 0.000
4.236 0.000 0.000
4.236 4.236 4.236
2.118 2.118 2.118
2.118 6.354 6.354
6.354 2.118 6.354
6.354 6.354 2.118
2.118 2.118 6.354
2.118 6.354 2.118
6.354 2.118 2.118
6.354 6.354 6.354
```

Values from the calculation:
- raw total energy (eV/atom) = -4.493
- space group = F-43m

=====

Record 3
Here is a geometry-optimized MnCoAs2 structure from the Alexandria database. Energies are from PBE.

Structure (POSCAR):
```
MnCoAs2
1.0
7.221 0.000 0.000
0.000 2.949 0.000
-1.329 0.000 5.608
Mn Co As
2 2 4
Cartesian
0.000 0.000 0.000
3.611 1.474 0.000
-0.665 1.474 2.804
2.946 0.000 2.804
0.806 0.000 4.069
1.476 1.474 1.539
4.416 1.474 4.069
5.086 0.000 1.539
```

Values from the calculation:
- space group = C2/m
- ΔE to the lowest computed polymorph (meV per atom) = 155

=====

Record 4
Here is a geometry-optimized CeTl2Br4F2 structure from the Alexandria database. Energies are from PBE.

Structure (POSCAR):
```
CeTl2Br4F2
1.0
6.162 -4.026 0.000
6.162 4.026 0.000
-0.988 0.000 5.719
Ce Tl Br F
1 2 4 2
Cartesian
0.000 0.000 0.000
3.149 0.000 3.925
8.187 0.000 1.794
4.590 1.973 1.201
6.747 1.973 4.518
4.590 -1.973 1.201
6.747 -1.973 4.518
1.349 0.000 1.607
9.988 0.000 4.112
```

Values from the calculation:
- E_form (uncorrected) (meV/atom) = -1834
- space group = C2/m

=====

Record 5
Here is a geometry-optimized TcHSe2 structure from the Alexandria database. Energies are from PBE.

Structure (POSCAR):
```
TcHSe2
1.0
4.462 0.000 0.000
0.410 5.148 0.000
2.230 -0.008 7.041
Tc H Se
2 2 4
Cartesian
0.000 0.000 0.000
1.823 1.305 0.000
2.329 3.859 1.978
4.559 3.851 5.062
1.010 3.180 1.616
3.239 3.171 5.425
3.144 0.669 1.937
5.374 0.661 5.103
```

Values from the calculation:
- space group = P1
- ΔE to the lowest computed polymorph (meV per atom) = 14

=====

Record 6
Here is a geometry-optimized Be2Co2Ir structure from the Alexandria database. Energies are from PBE.

Structure (POSCAR):
```
Be2Co2Ir
1.0
6.133 0.000 0.000
0.000 6.133 0.000
0.000 0.000 2.663
Be Co Ir
4 4 2
Cartesian
0.775 2.292 0.000
2.292 5.358 0.000
3.841 0.775 0.000
5.358 3.841 0.000
1.030 4.097 1.331
2.036 1.030 1.331
4.097 5.103 1.331
5.103 2.036 1.331
0.000 0.000 0.000
3.067 3.067 0.000
```

Values from the calculation:
- space group = P4/mbm
- ΔE to the lowest computed polymorph (meV per atom) = 0

=====

Record 7
Here is a geometry-optimized GePPdS2 structure from the Alexandria database. Energies are from PBE.

Structure (POSCAR):
```
GePPdS2
1.0
4.913 0.000 0.000
0.000 4.913 0.000
0.000 0.000 4.413
Ge P Pd S
1 1 1 2
Cartesian
0.000 0.000 0.000
2.456 2.456 0.000
2.456 2.456 2.206
0.000 2.456 2.206
2.456 0.000 2.206
```

Values from the calculation:
- E_form (uncorrected) (meV/atom) = 598
- space group = P4/mmm
- ΔE to the lowest computed polymorph (meV per atom) = 0

=====

Record 8
Here is a geometry-optimized Pm3Nd2Tm structure from the Alexandria database. Energies are from PBE.

Structure (POSCAR):
```
Pm3Nd2Tm
1.0
3.486 0.000 0.000
0.002 6.665 0.000
1.723 2.006 8.849
Pm Nd Tm
3 2 1
Cartesian
0.000 0.000 0.000
1.736 3.724 5.842
3.476 4.947 3.007
1.739 1.655 2.844
3.472 7.016 6.005
0.001 3.333 0.000
```

Values from the calculation:
- space group = P-1
- ΔE to the lowest computed polymorph (meV per atom) = 0

=====

Record 9
Here is a geometry-optimized LaCe2TmN4 structure from the Alexandria database. Energies are from PBE.

Structure (POSCAR):
```
LaCe2TmN4
1.0
6.167 0.000 0.000
0.000 3.567 0.000
-2.068 0.000 5.866
La Ce Tm N
1 2 1 4
Cartesian
0.000 0.000 0.000
2.049 0.000 2.933
3.083 1.784 0.000
-1.034 1.784 2.933
0.021 0.000 4.329
1.060 1.784 1.577
3.039 1.784 4.289
4.078 0.000 1.537
```

Values from the calculation:
- E_form (uncorrected) (meV/atom) = -1499
- space group = P2/m

=====

Record 10
Here is a geometry-optimized BaCaRh2 structure from the Alexandria database. Energies are from PBE.

Structure (POSCAR):
```
BaCaRh2
1.0
4.251 0.000 0.000
0.000 4.251 0.000
0.000 0.000 10.214
Ba Ca Rh
2 2 4
Cartesian
0.000 0.000 0.000
2.126 2.126 5.107
0.000 2.126 7.660
2.126 0.000 2.553
0.000 0.000 5.107
0.000 2.126 2.553
2.126 0.000 7.660
2.126 2.126 0.000
```

Values from the calculation:
- space group = I-4m2
- ΔE to the lowest computed polymorph (meV per atom) = 311

=====

Record 11
Here is a geometry-optimized HoHg6Au structure from the Alexandria database. Energies are from PBE.

Structure (POSCAR):
```
HoHg6Au
1.0
3.091 1.784 7.811
-3.091 1.784 7.811
0.000 -3.569 7.811
Ho Hg Au
1 6 1
Cartesian
0.000 0.000 0.000
0.000 -1.737 5.422
-1.505 0.869 5.422
-1.505 -0.869 18.011
1.505 0.869 5.422
1.505 -0.869 18.011
0.000 1.737 18.011
0.000 0.000 11.717
```

Values from the calculation:
- raw total energy (eV/atom) = -1.071
- space group = R-3m

=====

Record 12
Here is a geometry-optimized Ti2AsRh2 structure from the Alexandria database. Energies are from PBE.

Structure (POSCAR):
```
Ti2AsRh2
1.0
7.326 0.000 0.000
0.000 7.326 0.000
0.000 0.000 2.961
Ti As Rh
4 2 4
Cartesian
1.191 2.472 0.000
2.472 6.135 0.000
4.854 1.191 0.000
6.135 4.854 0.000
0.000 0.000 1.480
3.663 3.663 1.480
0.980 4.643 1.480
2.683 0.980 1.480
4.643 6.346 1.480
6.346 2.683 1.480
```

Values from the calculation:
- raw total energy (eV/atom) = -7.614
- space group = P4/mbm